The following is a PBE calculation of an optimized crystal structure of CaSmEu2, from Alexandria.

Cell: 3.8020 3.8020 12.7819 Å, 81.45 81.45 60.00°
Positions (direct):
Eu: 0.7475 0.7475 0.7576
Eu: 0.2525 0.2525 0.2424
Ca: 0.5000 0.5000 0.5000
Sm: 0.0000 0.0000 0.0000

Computed properties:
Crystal system: trigonal
E above lowest polymorph, meV per atom: 0.0
DFT formation energy, eV/atom: 0.053
Theoretical density, Mg/m³: 5.2
Total magnetization, Bohr magnetons per cell: 15.136